*i*
This record from the Alexandria database describes AlCd2Cl after structural relaxation. The functional is GGA-PBE.

Unit cell a=5.124 b=3.019 c=5.713 alpha=90.01 beta=90.00 gamma=90.00
Sites, in units of the cell vectors:
Cd  0.500  0.252  0.126
Cd  0.000  0.752  0.125
Al  0.500  0.747  0.625
Cl  0.000  0.749  0.625

Properties
* DOS(E_F): 0.253 states/eV/atom
* magnetic moment: 0.0 Bohr magnetons per cell
* SG: Pm, No. 6

***

*ii*
This record from the Alexandria database describes AlCd2Cl after structural relaxation. The functional is GGA-PBE.

Unit cell a=8.139 b=8.139 c=8.139 alpha=26.20 beta=26.20 gamma=26.20
Sites, in units of the cell vectors:
Cd  0.004  0.004  0.004
Cl  0.250  0.250  0.250
Al  0.750  0.750  0.750
Cd  0.496  0.496  0.496

Properties
* DOS(E_F): 0.344 states/eV/atom
* magnetic moment: 0.0 Bohr magnetons per cell
* SG: R-3m, No. 166

***

The structure with the most favorable energy is *i*; the runner-up is 30 meV/atom above it.

***

*i*
This record from the Alexandria database describes AlCdCl5 after structural relaxation. The functional is GGA-PBE.

Unit cell a=7.098 b=7.100 c=9.446 alpha=109.42 beta=109.42 gamma=89.96
Sites, in units of the cell vectors:
Cl  0.411  0.088  0.250
Cl  0.218  0.662  0.336
Cl  0.838  0.282  0.164
Cl  0.162  0.718  0.836
Cl  0.212  0.259  0.552
Cd  0.500  0.000  0.500
Cl  0.759  0.712  0.053
Al  0.108  0.391  0.750
Cd  0.500  0.000  0.000
Cl  0.782  0.338  0.664
Cl  0.788  0.741  0.448
Cl  0.589  0.912  0.750
Al  0.892  0.609  0.250
Cl  0.241  0.288  0.947

Properties
* DOS(E_F): 0.000 states/eV/atom
* magnetic moment: 0.0 Bohr magnetons per cell
* SG: C2/c, No. 15

***

*ii*
This record from the Alexandria database describes AlCdCl5 after structural relaxation. The functional is GGA-PBE.

Unit cell a=6.496 b=6.496 c=9.773 alpha=67.70 beta=67.70 gamma=67.05
Sites, in units of the cell vectors:
Cl  0.684  0.880  0.639
Cd  0.484  0.516  0.750
Cl  0.626  0.213  0.978
Cl  0.880  0.120  0.250
Al  0.000  0.000  0.500
Cl  0.213  0.626  0.478
Cd  0.516  0.484  0.250
Al  0.000  0.000  0.000
Cl  0.374  0.787  0.022
Cl  0.120  0.880  0.750
Cl  0.316  0.120  0.361
Cl  0.880  0.684  0.139
Cl  0.787  0.374  0.522
Cl  0.120  0.316  0.861

Properties
* DOS(E_F): 0.000 states/eV/atom
* magnetic moment: 0.0 Bohr magnetons per cell
* SG: C2/c, No. 15

***

The structure with the most favorable energy is *i*; the runner-up is 127 meV/atom above it.

***

*i*
This record from the Alexandria database describes Al3CdCl after structural relaxation. The functional is GGA-PBE.

Unit cell a=5.079 b=5.079 c=5.079 alpha=90.00 beta=90.00 gamma=90.00
Sites, in units of the cell vectors:
Al  0.500  0.000  0.000
Cd  0.500  0.500  0.500
Al  0.000  0.500  0.000
Al  0.000  0.000  0.500
Cl  0.000  0.000  0.000

Properties
* DOS(E_F): 0.505 states/eV/atom
* magnetic moment: 0.0 Bohr magnetons per cell
* SG: Pm-3m, No. 221

***

*ii*
This record from the Alexandria database describes Al3CdCl after structural relaxation. The functional is GGA-PBE.

Unit cell a=5.202 b=5.202 c=5.202 alpha=90.00 beta=90.00 gamma=90.00
Sites, in units of the cell vectors:
Cd  0.000  0.000  0.000
Cl  0.500  0.500  0.500
Al  0.500  0.000  0.000
Al  0.000  0.000  0.500
Al  0.000  0.500  0.000

Properties
* DOS(E_F): 0.567 states/eV/atom
* magnetic moment: 0.0 Bohr magnetons per cell
* SG: Pm-3m, No. 221

***

The structure with the most favorable energy is *ii*; the runner-up is 108 meV/atom above it.

***

*i*
This record from the Alexandria database describes Al2CdCl8 after structural relaxation. The functional is GGA-PBE.

Unit cell a=6.171 b=7.888 c=7.888 alpha=71.82 beta=84.83 gamma=84.83
Sites, in units of the cell vectors:
Al  0.349  0.190  0.190
Cl  0.766  0.082  0.715
Cd  0.000  0.000  0.000
Cl  0.296  0.823  0.823
Cl  0.229  0.350  0.350
Al  0.651  0.810  0.810
Cl  0.771  0.650  0.650
Cl  0.766  0.715  0.082
Cl  0.234  0.918  0.285
Cl  0.704  0.177  0.177
Cl  0.234  0.285  0.918

Properties
* DOS(E_F): 0.000 states/eV/atom
* magnetic moment: 0.2 Bohr magnetons per cell
* SG: C2/m, No. 12

***

*ii*
This record from the Alexandria database describes Al2CdCl8 after structural relaxation. The functional is GGA-PBE.

Unit cell a=8.718 b=9.905 c=10.399 alpha=71.07 beta=65.22 gamma=63.89
Sites, in units of the cell vectors:
Cd  0.999  0.750  0.250
Cl  0.800  0.789  0.521
Cl  0.394  0.754  0.551
Cl  0.301  0.254  0.051
Al  0.667  0.638  0.538
Cl  0.869  0.042  0.773
Cl  0.280  0.040  0.842
Cl  0.720  0.960  0.158
Al  0.158  0.138  0.038
Cl  0.606  0.246  0.449
Al  0.842  0.862  0.962
Al  0.333  0.362  0.462
Cl  0.111  0.711  0.979
Cl  0.131  0.958  0.227
Cl  0.889  0.289  0.021
Cl  0.685  0.458  0.727
Cl  0.161  0.460  0.658
Cl  0.699  0.746  0.949
Cd  0.001  0.250  0.750
Cl  0.315  0.542  0.273
Cl  0.200  0.211  0.479
Cl  0.839  0.540  0.342

Properties
* DOS(E_F): 0.000 states/eV/atom
* magnetic moment: 0.0 Bohr magnetons per cell
* SG: C2/c, No. 15

***

The structure with the most favorable energy is *ii*; the runner-up is 6 meV/atom above it.